## KCrTe (meta-GGA SCAN)

Data for a crystal of KCrTe relaxed with PBEsol.

Summary:
- symmetry = I4mm, No. 107
- uncorrected formation energy (meV per atom) = -302

Cell: 6.757 6.757 6.757 Å, 146.33 146.33 48.36°
Positions (direct):
K: 0.000 0.000 0.000
Cr: 0.265 0.265 0.000
Te: 0.721 0.721 0.000

## KCrTe (meta-GGA SCAN)

Data for a crystal of KCrTe relaxed with PBEsol.

Summary:
- symmetry = F-43m, No. 216
- uncorrected formation energy (meV per atom) = 243

Cell: 5.179 5.179 5.179 Å, 60.00 60.00 60.00°
Positions (direct):
K: 0.000 0.000 0.000
Cr: 0.250 0.250 0.250
Te: 0.750 0.750 0.750

## K3TiCr (meta-GGA SCAN)

Data for a crystal of K3TiCr relaxed with PBEsol.

Summary:
- formation energy from the elements (eV per atom) = 1.26
- symmetry = Pm-3m, No. 221

Cell: 6.448 6.448 6.448 Å, 90.00 90.00 90.00°
Positions (direct):
K: 0.000 0.000 0.500
K: 0.000 0.500 0.000
K: 0.500 0.000 0.000
Ti: 0.000 0.000 0.000
Cr: 0.500 0.500 0.500

## KTl2Cr (meta-GGA SCAN)

Data for a crystal of KTl2Cr relaxed with PBEsol.

Summary:
- formation energy from the elements (eV per atom) = 0.20
- symmetry = I4/mmm, No. 139

Cell: 5.231 5.231 5.231 Å, 119.94 119.94 90.10°
Positions (direct):
K: 0.000 0.000 0.000
Tl: 0.250 0.750 0.500
Tl: 0.750 0.250 0.500
Cr: 0.500 0.500 0.000

## KTlCr2 (meta-GGA SCAN)

Data for a crystal of KTlCr2 relaxed with PBEsol.

Summary:
- formation energy from the elements (eV per atom) = 0.58
- symmetry = C2/m, No. 12

Cell: 4.948 4.948 7.085 Å, 96.58 96.58 38.35°
Positions (direct):
K: 0.000 0.000 0.000
Tl: 0.500 0.500 0.500
Cr: 0.232 0.232 0.662
Cr: 0.768 0.768 0.338

## KTl2Cr (meta-GGA SCAN)

Data for a crystal of KTl2Cr relaxed with PBEsol.

Summary:
- formation energy from the elements (eV per atom) = 0.16
- symmetry = Pmm2, No. 25

Cell: 3.294 4.538 7.670 Å, 90.00 90.00 90.00°
Positions (direct):
K: 0.000 0.000 0.000
Tl: 0.500 0.000 0.582
Tl: 0.500 0.500 0.287
Cr: 0.000 0.500 0.607

## KTl2Cr (meta-GGA SCAN)

Data for a crystal of KTl2Cr relaxed with PBEsol.

Summary:
- formation energy from the elements (eV per atom) = 0.23
- symmetry = R-3m, No. 166

Cell: 10.262 10.262 10.262 Å, 19.45 19.45 19.45°
Positions (direct):
K: 0.000 0.000 0.000
Tl: 0.236 0.236 0.236
Tl: 0.764 0.764 0.764
Cr: 0.500 0.500 0.500

## KTlCr2 (meta-GGA SCAN)

Data for a crystal of KTlCr2 relaxed with PBEsol.

Summary:
- formation energy from the elements (eV per atom) = 0.75
- symmetry = F-43m, No. 216

Cell: 5.135 5.135 5.135 Å, 60.00 60.00 60.00°
Positions (direct):
K: 0.000 0.000 0.000
Tl: 0.750 0.750 0.750
Cr: 0.250 0.250 0.250
Cr: 0.500 0.500 0.500

## KTlCr2 (meta-GGA SCAN)

Data for a crystal of KTlCr2 relaxed with PBEsol.

Summary:
- formation energy from the elements (eV per atom) = 0.69
- symmetry = I4/mmm, No. 139

Cell: 4.949 4.949 4.949 Å, 119.93 119.93 90.13°
Positions (direct):
K: 0.000 0.000 0.000
Tl: 0.500 0.500 0.000
Cr: 0.250 0.750 0.500
Cr: 0.750 0.250 0.500

## KTl3Cr (meta-GGA SCAN)

Data for a crystal of KTl3Cr relaxed with PBEsol.

Summary:
- formation energy from the elements (eV per atom) = 1.05
- symmetry = Pm-3m, No. 221

Cell: 5.813 5.813 5.813 Å, 90.00 90.00 90.00°
Positions (direct):
K: 0.000 0.000 0.000
Tl: 0.000 0.000 0.500
Tl: 0.000 0.500 0.000
Tl: 0.500 0.000 0.000
Cr: 0.500 0.500 0.500

## KTl2Cr (meta-GGA SCAN)

Data for a crystal of KTl2Cr relaxed with PBEsol.

Summary:
- formation energy from the elements (eV per atom) = 0.05
- symmetry = P4/mmm, No. 123

Cell: 3.475 3.475 8.461 Å, 90.00 90.00 90.00°
Positions (direct):
K: 0.000 0.000 0.000
Tl: 0.500 0.500 0.305
Tl: 0.500 0.500 0.695
Cr: 0.000 0.000 0.500

## KCr2W (meta-GGA SCAN)

Data for a crystal of KCr2W relaxed with PBEsol.

Summary:
- formation energy from the elements (eV per atom) = 0.95
- symmetry = P2/m, No. 10

Cell: 2.727 4.123 7.198 Å, 90.00 90.19 90.00°
Positions (direct):
K: 0.000 0.000 0.000
Cr: 0.111 0.500 0.368
Cr: 0.889 0.500 0.632
W: 0.500 0.000 0.500

| no. | calculated volume (Å³/cell) |
| --- | --- |
| 1 | 94.5 |
| 2 | 98.3 |
| 3 | 268.1 |
| 4 | 101.3 |
| 5 | 106.8 |
| 6 | 114.7 |
| 7 | 104.7 |
| 8 | 95.8 |
| 9 | 85.8 |
| 10 | 196.4 |
| 11 | 102.2 |
| 12 | 80.9 |